Entry 1:
# Re2BrCl, optimized geometry, DFT PBE
# DOS(E_F) = 1.1318 states/eV per atom
# energy = -5.29 eV per atom
# E_form (uncorrected) = 1.82 eV/atom
# crystal system = orthorhombic
# energy above the most stable polymorph in this dataset = 7.13 eV per formula unit
data_Re2BrCl
_space_group_name_H-M_alt 'C m m m'
_space_group_IT_number 65
_space_group_name_Hall '-C 2 2'
_cell_length_a 5.768
_cell_length_b 7.809
_cell_length_c 2.897
_cell_angle_alpha 90.00
_cell_angle_beta 90.00
_cell_angle_gamma 90.00
loop_
_atom_site_label
_atom_site_type_symbol
_atom_site_fract_x
_atom_site_fract_y
_atom_site_fract_z
Re1 Re 0.250 0.250 0.000
Br1 Br 0.000 0.000 0.500
Cl1 Cl 0.000 0.500 0.500



Entry 2:
# ReBr5Cl, optimized geometry, DFT PBE
# DOS(E_F) = 0.2373 states/eV per atom
# energy = -3.41 eV per atom
# E_form (uncorrected) = -0.18 eV/atom
# crystal system = triclinic
data_ReBr5Cl
_space_group_name_H-M_alt 'P -1'
_space_group_IT_number 2
_cell_length_a 7.137
_cell_length_b 9.861
_cell_length_c 9.961
_cell_angle_alpha 65.25
_cell_angle_beta 81.81
_cell_angle_gamma 74.06
loop_
_space_group_symop_operation_xyz
'x,y,z'
'-x,-y,-z'
loop_
_atom_site_label
_atom_site_type_symbol
_atom_site_fract_x
_atom_site_fract_y
_atom_site_fract_z
Re1 Re 0.000 0.000 0.000
Re2 Re 0.500 0.000 0.000
Br1 Br 0.036 0.042 0.736
Br2 Br 0.214 0.761 0.676
Br3 Br 0.318 0.790 0.056
Br4 Br 0.362 0.552 0.602
Br5 Br 0.463 0.962 0.260
Cl1 Cl 0.188 0.186 0.951



Entry 3:
# Re2BrCl, optimized geometry, DFT PBE
# DOS(E_F) = 0.0501 states/eV per atom
# energy = -6.25 eV per atom
# E_form (uncorrected) = 0.86 eV/atom
# crystal system = orthorhombic
# energy above the most stable polymorph in this dataset = 3.28 eV per formula unit
data_Re2BrCl
_space_group_name_H-M_alt 'I m m 2'
_space_group_IT_number 44
_cell_length_a 3.193
_cell_length_b 7.748
_cell_length_c 9.775
_cell_angle_alpha 90.00
_cell_angle_beta 90.00
_cell_angle_gamma 90.00
loop_
_space_group_symop_operation_xyz
'x,y,z'
'-x,-y,z'
'-x,y,z'
'x,-y,z'
'x+1/2,y+1/2,z+1/2'
'-x+1/2,-y+1/2,z+1/2'
'-x+1/2,y+1/2,z+1/2'
'x+1/2,-y+1/2,z+1/2'
loop_
_atom_site_label
_atom_site_type_symbol
_atom_site_fract_x
_atom_site_fract_y
_atom_site_fract_z
Re1 Re 0.000 0.000 0.000
Re2 Re 0.000 0.500 0.329
Br1 Br 0.000 0.500 0.725
Cl1 Cl 0.000 0.000 0.619



Entry 4:
# ReBr3Cl, optimized geometry, DFT PBE
# DOS(E_F) = 0.1749 states/eV per atom
# energy = -2.46 eV per atom
# E_form (uncorrected) = 1.40 eV/atom
# crystal system = cubic
# energy above the most stable polymorph in this dataset = 8.39 eV per formula unit
data_ReBr3Cl
_space_group_name_H-M_alt 'P m -3 m'
_space_group_IT_number 221
_space_group_name_Hall '-P 4 2 3'
_cell_length_a 5.374
_cell_length_b 5.374
_cell_length_c 5.374
_cell_angle_alpha 90.00
_cell_angle_beta 90.00
_cell_angle_gamma 90.00
loop_
_atom_site_label
_atom_site_type_symbol
_atom_site_fract_x
_atom_site_fract_y
_atom_site_fract_z
Re1 Re 0.000 0.000 0.000
Br1 Br 0.000 0.500 0.500
Cl1 Cl 0.500 0.500 0.500



Entry 5:
# ReBr2Cl8, optimized geometry, DFT PBE
# DOS(E_F) = 0.4033 states/eV per atom
# energy = -3.11 eV per atom
# E_form (uncorrected) = -0.33 eV/atom
# crystal system = monoclinic
data_ReBr2Cl8
_space_group_name_H-M_alt 'C 1 2/m 1'
_space_group_IT_number 12
_cell_length_a 13.602
_cell_length_b 8.217
_cell_length_c 8.290
_cell_angle_alpha 90.00
_cell_angle_beta 116.90
_cell_angle_gamma 90.00
loop_
_space_group_symop_operation_xyz
'x,y,z'
'-x,-y,-z'
'-x,y,-z'
'x,-y,z'
'x+1/2,y+1/2,z'
'-x+1/2,-y+1/2,-z'
'-x+1/2,y+1/2,-z'
'x+1/2,-y+1/2,z'
loop_
_atom_site_label
_atom_site_type_symbol
_atom_site_fract_x
_atom_site_fract_y
_atom_site_fract_z
Re1 Re 0.000 0.000 0.000
Br1 Br 0.228 0.500 0.486
Cl1 Cl 0.049 0.500 0.309
Cl2 Cl 0.050 0.000 0.310
Cl3 Cl 0.128 0.197 0.045



Entry 6:
# Re2BrCl, optimized geometry, DFT PBE
# DOS(E_F) = 0.8352 states/eV per atom
# energy = -6.51 eV per atom
# E_form (uncorrected) = 0.59 eV/atom
# crystal system = orthorhombic
# energy above the most stable polymorph in this dataset = 2.23 eV per formula unit
data_Re2BrCl
_space_group_name_H-M_alt 'C m m 2'
_space_group_IT_number 35
_cell_length_a 3.150
_cell_length_b 5.345
_cell_length_c 10.105
_cell_angle_alpha 90.00
_cell_angle_beta 90.00
_cell_angle_gamma 90.00
loop_
_space_group_symop_operation_xyz
'x,y,z'
'-x,-y,z'
'-x,y,z'
'x,-y,z'
'x+1/2,y+1/2,z'
'-x+1/2,-y+1/2,z'
'-x+1/2,y+1/2,z'
'x+1/2,-y+1/2,z'
loop_
_atom_site_label
_atom_site_type_symbol
_atom_site_fract_x
_atom_site_fract_y
_atom_site_fract_z
Re1 Re 0.000 0.000 0.000
Re2 Re 0.000 0.500 0.180
Br1 Br 0.000 0.500 0.765
Cl1 Cl 0.000 0.000 0.383



Entry 7:
# Re2BrCl, optimized geometry, DFT PBE
# DOS(E_F) = 1.1888 states/eV per atom
# energy = -5.29 eV per atom
# E_form (uncorrected) = 1.81 eV/atom
# crystal system = tetragonal
# energy above the most stable polymorph in this dataset = 7.12 eV per formula unit
data_Re2BrCl
_space_group_name_H-M_alt 'P 4/m m m'
_space_group_IT_number 123
_space_group_name_Hall '-P 4 2'
_cell_length_a 4.044
_cell_length_b 4.044
_cell_length_c 4.032
_cell_angle_alpha 90.00
_cell_angle_beta 90.00
_cell_angle_gamma 90.00
loop_
_atom_site_label
_atom_site_type_symbol
_atom_site_fract_x
_atom_site_fract_y
_atom_site_fract_z
Re1 Re 0.000 0.500 0.000
Br1 Br 0.000 0.000 0.500
Cl1 Cl 0.500 0.500 0.500



Entry 8:
# ReBrCl, optimized geometry, DFT PBE
# DOS(E_F) = 0.9335 states/eV per atom
# energy = -4.50 eV per atom
# E_form (uncorrected) = 0.82 eV/atom
# crystal system = cubic
# energy above the most stable polymorph in this dataset = 2.91 eV per formula unit
data_ReBrCl
_space_group_name_H-M_alt 'F -4 3 m'
_space_group_IT_number 216
_space_group_name_Hall 'F -4 2 3'
_cell_length_a 6.143
_cell_length_b 6.143
_cell_length_c 6.143
_cell_angle_alpha 90.00
_cell_angle_beta 90.00
_cell_angle_gamma 90.00
loop_
_atom_site_label
_atom_site_type_symbol
_atom_site_fract_x
_atom_site_fract_y
_atom_site_fract_z
Re1 Re 0.000 0.000 0.000
Br1 Br 0.250 0.250 0.250
Cl1 Cl 0.250 0.250 0.750